Entry 1:
CeSm2Y5Tm after structural relaxation. Source: Alexandria, functional GGA-PBE.

Unit cell a=8.568 b=8.568 c=9.925 alpha=115.57 beta=115.57 gamma=90.00
Element x y z (fractional)
Tm (0.250, 0.250, 0.500)
Tm (0.750, 0.750, 0.500)
Ce (0.750, 0.250, 0.500)
Ce (0.250, 0.750, 0.500)
Sm (0.621, 0.121, 0.000)
Sm (0.121, 0.379, 0.000)
Sm (0.379, 0.879, 0.000)
Sm (0.879, 0.621, 0.000)
Y (0.342, 0.842, 0.281)
Y (0.439, 0.342, 0.281)
Y (0.158, 0.061, 0.719)
Y (0.842, 0.939, 0.281)
Y (0.939, 0.439, 0.281)
Y (0.658, 0.158, 0.719)
Y (0.500, 0.500, 0.000)
Y (0.061, 0.561, 0.719)
Y (0.000, 0.000, 0.000)
Y (0.561, 0.658, 0.719)

Results
- calculated total energy (eV/cell) = -99.51
- energy of formation (kcal/mol of atoms) = 6.17
- D(E_F) (states/eV per cell) = 31.2
- total magnetization (μB per atom) = 0.12

=====

Entry 2:
CeSm6YTm2 after structural relaxation. Source: Alexandria, functional GGA-PBE.

Unit cell a=8.824 b=6.960 c=6.628 alpha=121.67 beta=101.81 gamma=90.00
Element x y z (fractional)
Sm (0.800, 0.407, 0.344)
Sm (0.800, 0.937, 0.344)
Sm (0.200, 0.593, 0.656)
Sm (0.582, 0.374, 0.747)
Sm (0.418, 0.626, 0.253)
Sm (0.200, 0.063, 0.656)
Y (0.500, 0.000, 0.000)
Tm (0.835, 0.911, 0.821)
Tm (0.165, 0.089, 0.179)
Ce (0.000, 0.500, 0.000)

Results
- calculated total energy (eV/cell) = -47.17
- energy of formation (kcal/mol of atoms) = 5.74
- D(E_F) (states/eV per cell) = 22.6
- total magnetization (μB per atom) = 0.14

=====

Entry 3:
CeSm6Y2Tm3 after structural relaxation. Source: Alexandria, functional GGA-PBE.

Unit cell a=6.209 b=6.209 c=11.810 alpha=95.02 beta=95.02 gamma=120.00
Element x y z (fractional)
Tm (0.167, 0.833, 0.500)
Tm (0.833, 0.167, 0.500)
Tm (0.500, 0.500, 0.500)
Sm (0.247, 0.247, 0.748)
Sm (0.916, 0.585, 0.748)
Sm (0.585, 0.916, 0.748)
Sm (0.415, 0.084, 0.252)
Sm (0.753, 0.753, 0.252)
Sm (0.084, 0.415, 0.252)
Y (0.333, 0.667, 0.000)
Y (0.667, 0.333, 0.000)
Ce (0.000, 0.000, 0.000)

Results
- calculated total energy (eV/cell) = -60.11
- energy of formation (kcal/mol of atoms) = 0.93
- D(E_F) (states/eV per cell) = 19.0
- total magnetization (μB per atom) = 0.11

=====

Entry 4:
Ce2SmV after structural relaxation. Source: Alexandria, functional GGA-PBE.

Unit cell a=3.198 b=3.198 c=11.411 alpha=81.95 beta=81.95 gamma=60.00
Element x y z (fractional)
Sm (0.500, 0.500, 0.500)
Ce (0.926, 0.926, 0.221)
Ce (0.074, 0.074, 0.779)
V (0.000, 0.000, 0.000)

Results
- calculated total energy (eV/cell) = -23.67
- energy of formation (kcal/mol of atoms) = 11.76
- D(E_F) (states/eV per cell) = 9.8
- total magnetization (μB per atom) = 0.41

=====

Entry 5:
CeSmV after structural relaxation. Source: Alexandria, functional GGA-PBE.

Unit cell a=3.333 b=5.607 c=9.067 alpha=103.27 beta=114.33 gamma=94.77
Element x y z (fractional)
Ce (0.276, 0.239, 0.554)
Ce (0.724, 0.761, 0.446)
V (0.756, 0.119, 0.772)
V (0.244, 0.881, 0.228)
Sm (0.329, 0.698, 0.885)
Sm (0.671, 0.302, 0.115)

Results
- calculated total energy (eV/cell) = -37.55
- energy of formation (kcal/mol of atoms) = 7.66
- D(E_F) (states/eV per cell) = 10.5
- total magnetization (μB per atom) = 0.00

=====

Entry 6:
CeSmV4 after structural relaxation. Source: Alexandria, functional GGA-PBE.

Unit cell a=5.362 b=5.362 c=5.362 alpha=60.00 beta=60.00 gamma=60.00
Element x y z (fractional)
V (0.627, 0.627, 0.627)
V (0.627, 0.119, 0.627)
V (0.119, 0.627, 0.627)
V (0.627, 0.627, 0.119)
Ce (0.000, 0.000, 0.000)
Sm (0.250, 0.250, 0.250)

Results
- calculated total energy (eV/cell) = -45.20
- energy of formation (kcal/mol of atoms) = 7.42
- D(E_F) (states/eV per cell) = 8.5
- total magnetization (μB per atom) = 0.00

=====

Entry 7:
CeSmY2 after structural relaxation. Source: Alexandria, functional GGA-PBE.

Unit cell a=3.578 b=3.578 c=11.737 alpha=81.23 beta=81.23 gamma=60.00
Element x y z (fractional)
Sm (0.500, 0.500, 0.498)
Ce (0.666, 0.666, 0.001)
Y (0.252, 0.252, 0.245)
Y (0.081, 0.081, 0.756)

Results
- calculated total energy (eV/cell) = -23.37
- energy of formation (kcal/mol of atoms) = 1.24
- D(E_F) (states/eV per cell) = 8.5
- total magnetization (μB per atom) = 0.16

=====

Entry 8:
Ce2SmY after structural relaxation. Source: Alexandria, functional GGA-PBE.

Unit cell a=5.121 b=4.935 c=4.935 alpha=90.00 beta=90.00 gamma=90.00
Element x y z (fractional)
Ce (0.000, 0.000, 0.500)
Ce (0.000, 0.500, 0.000)
Sm (0.500, 0.500, 0.500)
Y (0.500, 0.000, 0.000)

Results
- calculated total energy (eV/cell) = -22.58
- energy of formation (kcal/mol of atoms) = 2.72
- D(E_F) (states/eV per cell) = 10.7
- total magnetization (μB per atom) = 0.41

=====

Entry 9:
CeSm2Y7 after structural relaxation. Source: Alexandria, functional GGA-PBE.

Unit cell a=5.491 b=9.416 c=9.416 alpha=55.36 beta=90.00 gamma=90.00
Element x y z (fractional)
Y (0.000, 0.208, 0.208)
Y (0.500, 0.289, 0.935)
Y (0.500, 0.065, 0.711)
Y (0.000, 0.792, 0.792)
Y (0.500, 0.711, 0.065)
Y (0.500, 0.500, 0.500)
Y (0.500, 0.935, 0.289)
Sm (0.500, 0.703, 0.703)
Sm (0.500, 0.297, 0.297)
Ce (0.000, 0.000, 0.000)

Results
- calculated total energy (eV/cell) = -53.38
- energy of formation (kcal/mol of atoms) = 16.69
- D(E_F) (states/eV per cell) = 19.9
- total magnetization (μB per atom) = 0.13

=====

Entry 10:
CeSm6Y4 after structural relaxation. Source: Alexandria, functional GGA-PBE.

Unit cell a=5.840 b=5.655 c=25.961 alpha=90.00 beta=90.00 gamma=121.08
Element x y z (fractional)
Sm (0.800, 0.600, 0.101)
Sm (0.124, 0.247, 0.181)
Sm (0.500, 0.000, 0.500)
Sm (0.800, 0.600, 0.399)
Sm (0.546, 0.091, 0.750)
Sm (0.876, 0.753, 0.819)
Sm (0.876, 0.753, 0.681)
Sm (0.200, 0.400, 0.601)
Sm (0.454, 0.909, 0.250)
Sm (0.500, 0.000, 0.000)
Sm (0.124, 0.247, 0.319)
Sm (0.200, 0.400, 0.899)
Y (0.151, 0.302, 0.457)
Y (0.849, 0.698, 0.543)
Y (0.543, 0.085, 0.623)
Y (0.151, 0.302, 0.043)
Y (0.543, 0.085, 0.877)
Y (0.457, 0.915, 0.377)
Y (0.849, 0.698, 0.957)
Y (0.457, 0.915, 0.123)
Ce (0.791, 0.582, 0.250)
Ce (0.209, 0.418, 0.750)

Results
- calculated total energy (eV/cell) = -117.03
- energy of formation (kcal/mol of atoms) = 3.34
- D(E_F) (states/eV per cell) = 47.7
- total magnetization (μB per atom) = 0.10

=====

Entry 11:
CeSm5Y4 after structural relaxation. Source: Alexandria, functional GGA-PBE.

Unit cell a=3.503 b=11.083 c=9.119 alpha=73.28 beta=101.08 gamma=90.00
Element x y z (fractional)
Sm (0.793, 0.599, 0.587)
Sm (0.207, 0.401, 0.413)
Sm (0.104, 0.714, 0.208)
Sm (0.500, 0.500, 0.000)
Sm (0.896, 0.286, 0.792)
Y (0.304, 0.084, 0.607)
Y (0.696, 0.916, 0.393)
Y (0.094, 0.190, 0.188)
Y (0.906, 0.810, 0.812)
Ce (0.500, 0.000, 0.000)

Results
- calculated total energy (eV/cell) = -54.27
- energy of formation (kcal/mol of atoms) = 2.57
- D(E_F) (states/eV per cell) = 18.7
- total magnetization (μB per atom) = 0.07

=====

Entry 12:
Ce2Sm5Y6 after structural relaxation. Source: Alexandria, functional GGA-PBE.

Unit cell a=3.591 b=11.703 c=20.579 alpha=90.00 beta=90.00 gamma=90.00
Element x y z (fractional)
Sm (0.500, 0.417, 0.722)
Sm (0.500, 0.500, 0.000)
Sm (0.500, 0.917, 0.778)
Sm (0.500, 0.300, 0.445)
Sm (0.500, 0.083, 0.222)
Sm (0.500, 0.583, 0.278)
Sm (0.500, 0.000, 0.500)
Sm (0.500, 0.800, 0.055)
Sm (0.500, 0.700, 0.555)
Sm (0.500, 0.200, 0.945)
Y (0.000, 0.079, 0.365)
Y (0.500, 0.679, 0.867)
Y (0.500, 0.821, 0.367)
Y (0.000, 0.062, 0.077)
Y (0.500, 0.321, 0.133)
Y (0.000, 0.921, 0.635)
Y (0.000, 0.438, 0.577)
Y (0.000, 0.938, 0.923)
Y (0.000, 0.579, 0.135)
Y (0.000, 0.562, 0.423)
Y (0.500, 0.179, 0.633)
Y (0.000, 0.421, 0.865)
Ce (0.000, 0.173, 0.784)
Ce (0.000, 0.827, 0.216)
Ce (0.000, 0.327, 0.284)
Ce (0.000, 0.673, 0.716)

Results
- calculated total energy (eV/cell) = -144.98
- energy of formation (kcal/mol of atoms) = 3.12
- D(E_F) (states/eV per cell) = 49.0
- total magnetization (μB per atom) = 0.14

=====

Entry 13:
CeSm8Y3 after structural relaxation. Source: Alexandria, functional GGA-PBE.

Unit cell a=8.414 b=8.414 c=8.414 alpha=94.25 beta=117.57 gamma=117.57
Element x y z (fractional)
Sm (0.000, 0.639, 0.884)
Sm (0.755, 0.116, 0.116)
Sm (0.000, 0.789, 0.259)
Sm (0.469, 0.211, 0.211)
Sm (0.531, 0.741, 0.741)
Sm (0.000, 0.884, 0.639)
Sm (0.000, 0.259, 0.789)
Sm (0.245, 0.361, 0.361)
Ce (0.000, 0.000, 0.000)
Y (0.500, 0.250, 0.750)
Y (0.000, 0.500, 0.500)
Y (0.500, 0.750, 0.250)

Results
- calculated total energy (eV/cell) = -56.21
- energy of formation (kcal/mol of atoms) = 13.19
- D(E_F) (states/eV per cell) = 20.1
- total magnetization (μB per atom) = 0.00

=====

Entry 14:
CeSm3Y3 after structural relaxation. Source: Alexandria, functional GGA-PBE.

Unit cell a=8.140 b=8.140 c=7.218 alpha=90.02 beta=90.02 gamma=89.22
Element x y z (fractional)
Y (0.288, 0.712, 0.500)
Y (0.719, 0.719, 0.500)
Y (0.715, 0.285, 0.000)
Y (0.285, 0.715, 0.000)
Y (0.281, 0.281, 0.500)
Y (0.712, 0.288, 0.500)
Sm (0.000, 0.501, 0.754)
Sm (0.000, 0.000, 0.250)
Sm (0.501, 0.000, 0.754)
Sm (0.000, 0.000, 0.750)
Sm (0.000, 0.499, 0.246)
Sm (0.499, 0.000, 0.246)
Ce (0.286, 0.286, 0.000)
Ce (0.714, 0.714, 0.000)

Results
- calculated total energy (eV/cell) = -75.82
- energy of formation (kcal/mol of atoms) = 5.19
- D(E_F) (states/eV per cell) = 31.7
- total magnetization (μB per atom) = 0.19

=====

Entry 15:
CeSmY after structural relaxation. Source: Alexandria, functional GGA-PBE.

Unit cell a=3.452 b=8.740 c=6.495 alpha=90.00 beta=90.00 gamma=90.00
Element x y z (fractional)
Ce (0.000, 0.841, 0.250)
Ce (0.000, 0.159, 0.750)
Sm (0.000, 0.500, 0.500)
Sm (0.000, 0.500, 0.000)
Y (0.500, 0.815, 0.750)
Y (0.500, 0.185, 0.250)

Results
- calculated total energy (eV/cell) = -32.71
- energy of formation (kcal/mol of atoms) = 5.85
- D(E_F) (states/eV per cell) = 17.4
- total magnetization (μB per atom) = 0.46

=====

Entry 16:
CeSm7Y12 after structural relaxation. Source: Alexandria, functional GGA-PBE.

Unit cell a=8.758 b=8.758 c=8.758 alpha=90.37 beta=90.37 gamma=90.37
Element x y z (fractional)
Sm (0.063, 0.966, 0.673)
Sm (0.673, 0.063, 0.966)
Sm (0.966, 0.673, 0.063)
Sm (0.034, 0.327, 0.937)
Sm (0.937, 0.034, 0.327)
Sm (0.500, 0.500, 0.500)
Sm (0.327, 0.937, 0.034)
Y (0.352, 0.456, 0.125)
Y (0.768, 0.373, 0.225)
Y (0.627, 0.775, 0.232)
Y (0.225, 0.768, 0.373)
Y (0.456, 0.125, 0.352)
Y (0.544, 0.875, 0.648)
Y (0.373, 0.225, 0.768)
Y (0.875, 0.648, 0.544)
Y (0.775, 0.232, 0.627)
Y (0.648, 0.544, 0.875)
Y (0.125, 0.352, 0.456)
Y (0.232, 0.627, 0.775)
Ce (0.000, 0.000, 0.000)

Results
- calculated total energy (eV/cell) = -112.00
- energy of formation (kcal/mol of atoms) = 5.23
- D(E_F) (states/eV per cell) = 41.2
- total magnetization (μB per atom) = 0.00

=====

Entry 17:
CeSm4Y4 after structural relaxation. Source: Alexandria, functional GGA-PBE.

Unit cell a=5.102 b=8.031 c=8.031 alpha=84.21 beta=71.48 gamma=71.48
Element x y z (fractional)
Sm (0.000, 0.668, 0.332)
Sm (0.332, 0.668, 0.668)
Sm (0.668, 0.332, 0.332)
Sm (0.000, 0.332, 0.668)
Y (0.665, 0.000, 0.670)
Y (0.335, 0.000, 0.330)
Y (0.335, 0.330, 0.000)
Y (0.665, 0.670, 0.000)
Ce (0.000, 0.000, 0.000)

Results
- calculated total energy (eV/cell) = -50.27
- energy of formation (kcal/mol of atoms) = 1.01
- D(E_F) (states/eV per cell) = 15.6
- total magnetization (μB per atom) = 0.15

=====

Entry 18:
CeSm12Y6 after structural relaxation. Source: Alexandria, functional GGA-PBE.

Unit cell a=8.839 b=8.839 c=8.839 alpha=99.80 beta=99.80 gamma=99.80
Element x y z (fractional)
Sm (0.349, 0.349, 0.076)
Sm (0.245, 0.755, 0.500)
Sm (0.651, 0.651, 0.924)
Sm (0.755, 0.500, 0.245)
Sm (0.651, 0.924, 0.651)
Sm (0.500, 0.245, 0.755)
Sm (0.755, 0.245, 0.500)
Sm (0.349, 0.076, 0.349)
Sm (0.245, 0.500, 0.755)
Sm (0.500, 0.755, 0.245)
Sm (0.076, 0.349, 0.349)
Sm (0.924, 0.651, 0.651)
Y (0.102, 0.102, 0.667)
Y (0.333, 0.898, 0.898)
Y (0.898, 0.898, 0.333)
Y (0.667, 0.102, 0.102)
Y (0.102, 0.667, 0.102)
Y (0.898, 0.333, 0.898)
Ce (0.000, 0.000, 0.000)

Results
- calculated total energy (eV/cell) = -97.48
- energy of formation (kcal/mol of atoms) = 4.70
- D(E_F) (states/eV per cell) = 38.7
- total magnetization (μB per atom) = 0.10

=====

Entry 19:
CeSm3Y12 after structural relaxation. Source: Alexandria, functional GGA-PBE.

Unit cell a=5.071 b=5.071 c=20.267 alpha=90.00 beta=90.00 gamma=90.00
Element x y z (fractional)
Sm (0.000, 0.000, 0.752)
Sm (0.000, 0.000, 0.248)
Sm (0.000, 0.000, 0.500)
Y (0.500, 0.000, 0.626)
Y (0.000, 0.500, 0.877)
Y (0.500, 0.000, 0.877)
Y (0.000, 0.500, 0.626)
Y (0.000, 0.500, 0.374)
Y (0.500, 0.500, 0.750)
Y (0.500, 0.500, 0.500)
Y (0.000, 0.500, 0.123)
Y (0.500, 0.000, 0.123)
Y (0.500, 0.500, 0.250)
Y (0.500, 0.000, 0.374)
Y (0.500, 0.500, 0.000)
Ce (0.000, 0.000, 0.000)

Results
- calculated total energy (eV/cell) = -97.10
- energy of formation (kcal/mol of atoms) = 0.81
- D(E_F) (states/eV per cell) = 24.9
- total magnetization (μB per atom) = 0.06

=====

Entry 20:
CeSm2Y after structural relaxation. Source: Alexandria, functional GGA-PBE.

Unit cell a=3.568 b=3.568 c=10.148 alpha=90.00 beta=90.00 gamma=90.00
Element x y z (fractional)
Sm (0.000, 0.000, 0.757)
Sm (0.000, 0.000, 0.243)
Ce (0.500, 0.500, 0.000)
Y (0.500, 0.500, 0.500)

Results
- calculated total energy (eV/cell) = -21.59
- energy of formation (kcal/mol of atoms) = 1.43
- D(E_F) (states/eV per cell) = 7.5
- total magnetization (μB per atom) = 0.13